Record 1
First-principles (PBE) data for a geometry-optimized Re7Pt structure, as listed in the Alexandria database.

Cell and atoms, written as POSCAR:
```
Re7Pt
1.0
5.042 -1.889 1.274
1.682 -0.059 5.271
0.557 -4.813 2.672
Re Pt
7 1
Direct
0.500 0.000 0.000
0.500 0.000 0.500
0.000 0.500 0.000
0.500 0.500 0.500
0.000 0.500 0.500
0.000 0.000 0.500
0.500 0.500 0.000
0.000 0.000 0.000
```

The formation energy from the elements is 0.007 eV/atom. As for the crystal system: cubic.



Record 2
First-principles (PBE) data for a geometry-optimized Ag2Ge2I structure, as listed in the Alexandria database.

Cell and atoms, written as POSCAR:
```
Ag2Ge2I
1.0
8.511 0.000 0.000
0.000 8.511 0.000
0.000 0.000 3.101
I Ge Ag
2 4 4
Direct
0.500 0.500 0.000
0.000 0.000 0.000
0.609 0.891 0.500
0.109 0.609 0.500
0.891 0.391 0.500
0.391 0.109 0.500
0.824 0.676 0.000
0.676 0.176 0.000
0.324 0.824 0.000
0.176 0.324 0.000
```

The polymorph energy (0 for the lowest one) is 0.24 eV per formula unit. The calculation puts the raw formation energy at 277.2 meV per atom. As for the crystal system: tetragonal.



Record 3
First-principles (PBE) data for a geometry-optimized Hf3TaIn structure, as listed in the Alexandria database.

Cell and atoms, written as POSCAR:
```
Hf3TaIn
1.0
8.370 0.446 0.351
2.409 7.251 -0.737
2.409 0.987 7.221
Hf Ta In
12 4 4
Direct
0.438 0.621 0.767
0.458 0.044 0.319
0.866 0.973 0.287
0.634 0.713 0.027
0.062 0.233 0.379
0.366 0.287 0.973
0.042 0.681 0.956
0.134 0.027 0.713
0.938 0.767 0.621
0.542 0.956 0.681
0.958 0.319 0.044
0.562 0.379 0.233
0.814 0.427 0.748
0.186 0.573 0.252
0.314 0.748 0.427
0.686 0.252 0.573
0.250 0.933 0.067
0.750 0.067 0.933
0.250 0.377 0.623
0.750 0.623 0.377
```

The polymorph energy (0 for the lowest one) is 0.00 eV per formula unit. The formation energy from the elements is 0.084 eV/atom. As for the crystal system: monoclinic.



Record 4
First-principles (PBE) data for a geometry-optimized CaLa2ScH structure, as listed in the Alexandria database.

Cell and atoms, written as POSCAR:
```
CaLa2ScH
1.0
-0.987 4.953 -1.663
-5.070 -0.500 1.520
1.131 1.678 4.325
La Ca H Sc
2 1 1 1
Direct
0.500 0.000 0.000
0.000 0.500 0.000
0.500 0.500 0.500
0.000 0.000 0.000
0.000 0.000 0.500
```

The polymorph energy (0 for the lowest one) is 0.06 eV per formula unit. As for the crystal system: tetragonal.



Record 5
First-principles (PBE) data for a geometry-optimized Ce4SmY structure, as listed in the Alexandria database.

Cell and atoms, written as POSCAR:
```
Ce4SmY
1.0
6.352 0.000 0.000
3.176 5.501 0.000
3.176 1.834 5.186
Ce Sm Y
4 1 1
Direct
0.629 0.114 0.629
0.114 0.629 0.629
0.629 0.629 0.114
0.629 0.629 0.629
0.250 0.250 0.250
0.000 0.000 0.000
```

The formation energy from the elements is 0.203 eV/atom. As for the crystal system: cubic.



Record 6
First-principles (PBE) data for a geometry-optimized ReSiOs3 structure, as listed in the Alexandria database.

Cell and atoms, written as POSCAR:
```
ReSiOs3
1.0
-3.138 -3.419 0.802
2.912 -3.134 -1.970
1.964 -0.817 4.202
Os Re Si
3 1 1
Direct
0.000 0.500 0.000
0.500 0.000 0.000
0.000 0.000 0.500
0.000 0.000 0.000
0.500 0.500 0.500
```

The polymorph energy (0 for the lowest one) is 4.74 eV per formula unit. The calculation puts the raw formation energy at 2385.1 meV per atom. As for the crystal system: cubic.



Record 7
First-principles (PBE) data for a geometry-optimized Mn2AlCo structure, as listed in the Alexandria database.

Cell and atoms, written as POSCAR:
```
Mn2AlCo
1.0
2.875 0.000 0.000
0.000 2.875 0.000
0.000 0.000 5.713
Mn Al Co
2 1 1
Direct
0.500 0.500 0.232
0.000 0.000 0.004
0.000 0.000 0.509
0.500 0.500 0.755
```

The polymorph energy (0 for the lowest one) is 0.07 eV per formula unit. The formation energy from the elements is -0.248 eV/atom. As for the crystal system: tetragonal.



Record 8
First-principles (PBE) data for a geometry-optimized KTaO3 structure, as listed in the Alexandria database.

Cell and atoms, written as POSCAR:
```
KTaO3
1.0
-1.192 -1.427 3.508
-3.455 -5.058 -3.232
5.301 -3.788 0.261
O Ta K
6 2 2
Direct
0.000 0.750 0.110
0.500 0.750 0.420
0.500 0.000 0.000
0.500 0.250 0.580
0.000 0.250 0.890
0.500 0.500 0.000
0.500 0.750 0.141
0.500 0.250 0.859
0.000 0.750 0.677
0.000 0.250 0.323
```

The calculation puts the raw formation energy at -2544.9 meV per atom. As for the crystal system: orthorhombic.



Record 9
First-principles (PBE) data for a geometry-optimized YFeRe2 structure, as listed in the Alexandria database.

Cell and atoms, written as POSCAR:
```
YFeRe2
1.0
9.500 0.068 0.040
9.044 2.910 0.040
9.044 1.452 2.522
Re Fe Y
2 1 1
Direct
0.001 0.001 0.001
0.260 0.260 0.260
0.742 0.742 0.742
0.497 0.497 0.497
```

The polymorph energy (0 for the lowest one) is 1.29 eV per formula unit. The formation energy from the elements is 0.499 eV/atom. As for the crystal system: trigonal.



Record 10
First-principles (PBE) data for a geometry-optimized LiHgAs2 structure, as listed in the Alexandria database.

Cell and atoms, written as POSCAR:
```
LiHgAs2
1.0
-2.802 -6.870 2.500
1.275 -3.095 -7.078
1.775 -5.732 -1.504
Li Hg As
2 2 4
Direct
0.250 0.750 0.500
0.500 0.500 0.000
0.750 0.250 0.500
0.000 0.000 0.000
0.875 0.901 0.750
0.651 0.125 0.250
0.099 0.625 0.250
0.375 0.349 0.750
```

The formation energy from the elements is 0.042 eV/atom. As for the crystal system: tetragonal.



Record 11
First-principles (PBE) data for a geometry-optimized Nd3Sm2Sn3 structure, as listed in the Alexandria database.

Cell and atoms, written as POSCAR:
```
Nd3Sm2Sn3
1.0
6.785 0.000 0.000
0.000 9.259 0.000
0.000 -4.630 8.019
Nd Sn Sm
6 6 4
Direct
0.750 0.242 0.000
0.750 0.000 0.242
0.250 0.242 0.242
0.750 0.758 0.758
0.250 0.000 0.758
0.250 0.758 0.000
0.250 0.605 0.605
0.750 0.000 0.605
0.750 0.605 0.000
0.250 0.395 0.000
0.250 0.000 0.395
0.750 0.395 0.395
0.500 0.667 0.333
0.000 0.333 0.667
0.000 0.667 0.333
0.500 0.333 0.667
```

The formation energy from the elements is -0.704 eV/atom. As for the crystal system: hexagonal.



Record 12
First-principles (PBE) data for a geometry-optimized GdScIrOs structure, as listed in the Alexandria database.

Cell and atoms, written as POSCAR:
```
GdScIrOs
1.0
-4.122 -2.252 -0.438
-1.489 -2.881 3.426
-3.664 1.241 2.699
Os Gd Ir Sc
1 1 1 1
Direct
0.500 0.500 0.500
0.750 0.750 0.750
0.000 0.000 0.000
0.250 0.250 0.250
```

The formation energy from the elements is -0.474 eV/atom. As for the crystal system: cubic.